Pm2NdY6Ho2 | Alexandria via LeMat-Bulk | PBE | optimized geometry; ρ = 5.861 g/cm3; spin magnetization = 0.000 μB per atom; uncorrected energy = -5.50 eV per atom; space group = C2/m; N(E_F) = 1.582 states/eV per atom; DFT formation energy = 0.1517 eV per atom
1.0
6.628 -0.601 -0.501
-3.799 5.464 -0.501
-1.881 -3.233 11.501
Pm Nd Y Ho
2 1 6 2
Direct
0.865 0.135 0.000
0.135 0.865 0.000
0.000 0.000 0.500
0.710 0.710 0.710
0.137 0.445 0.790
0.290 0.290 0.290
0.445 0.137 0.790
0.863 0.555 0.210
0.555 0.863 0.210
0.297 0.703 0.500
0.703 0.297 0.500